TcAsBr2 | GGA-PBE | optimized geometry

Unit cell a=4.886 b=4.886 c=4.886 alpha=120.06 beta=119.82 gamma=90.11
Fractional coordinates of all 4 atoms:
Tc 0.000 0.000 0.000
As 0.251 0.751 0.500
Br 0.499 0.499 0.000
Br 0.750 0.250 0.500

Output
Its formation energy (no corrections) is 0.835 eV/atom. The space group is Imm2 (44). The total magnetization is 2.1 μB per formula unit. For the density of states at the Fermi level, the calculation gives 1.3 states/eV/cell. As for the energy: -15.02 eV per cell.